LiZrPt2, optimized geometry, DFT PBE; electronic total energy = -25.03 eV for the cell shown; SG = F-43m (216)
1.0
0.000 3.202 3.202
3.202 0.000 3.202
3.202 3.202 0.000
Pt Zr Li
2 1 1
direct
0.750 0.750 0.750 Pt
0.000 0.000 0.000 Pt
0.250 0.250 0.250 Zr
0.500 0.500 0.500 Li